Entry 1:
Computed, not measured: a relaxed structure of InCuBr2 at the PBE level of DFT.

Output
Energy above the lowest structure with this stoichiometry = 0.3767 eV/atom
Space-group type = No. 47
Total magnetic moment = 0.000 μB/f.u.
Calculated total energy = -0.095 Ha/atom

Unit cell a=4.3622 b=6.6343 c=3.9558 alpha=90.00 beta=90.00 gamma=90.00
Fractional positions:
In 0.0000 0.5000 0.5000
Br 0.5000 0.5000 0.0000
Cu 0.5000 0.0000 0.5000
Br 0.0000 0.0000 0.0000

=====

Entry 2:
Computed, not measured: a relaxed structure of InCuBr2 at the PBE level of DFT.

Output
Energy above the lowest structure with this stoichiometry = 0.1783 eV/atom
Space-group type = No. 44
Total magnetic moment = 0.000 μB/f.u.
Calculated total energy = -0.103 Ha/atom

Unit cell a=6.1693 b=6.1693 c=6.1693 alpha=144.58 beta=105.00 gamma=85.77
Fractional positions:
Br 0.0447 0.0447 0.0000
Br 0.6736 0.1736 0.5000
Cu 0.5058 0.5058 0.0000
In 0.2759 0.7759 0.5000

=====

Entry 3:
Computed, not measured: a relaxed structure of InCuBr3 at the PBE level of DFT.

Output
Energy above the lowest structure with this stoichiometry = 0.0935 eV/atom
Space-group type = No. 221
Total magnetic moment = 0.000 μB/f.u.
Calculated total energy = -0.101 Ha/atom

Unit cell a=5.1383 b=5.1383 c=5.1383 alpha=90.00 beta=90.00 gamma=90.00
Fractional positions:
In 0.5000 0.5000 0.5000
Cu 0.0000 0.0000 0.0000
Br 0.5000 0.0000 0.0000
Br 0.0000 0.5000 0.0000
Br 0.0000 0.0000 0.5000

=====

Entry 4:
Computed, not measured: a relaxed structure of InCuBr2 at the PBE level of DFT.

Output
Energy above the lowest structure with this stoichiometry = 0.0851 eV/atom
Space-group type = No. 10
Total magnetic moment = 0.000 μB/f.u.
Calculated total energy = -0.106 Ha/atom

Unit cell a=3.7188 b=4.2242 c=7.4619 alpha=83.94 beta=90.00 gamma=90.00
Fractional positions:
Br 0.0000 0.1918 0.0232
Cu 0.5000 0.2500 0.2500
Br 0.0000 0.3082 0.4768
In 0.5000 0.7500 0.7500

=====

Entry 5:
Computed, not measured: a relaxed structure of InCu4Br at the PBE level of DFT.

Output
Space-group type = No. 216
Total magnetic moment = 0.000 μB/f.u.
Calculated total energy = -0.120 Ha/atom

Unit cell a=5.1962 b=5.1962 c=5.1962 alpha=60.00 beta=60.00 gamma=60.00
Fractional positions:
Cu 0.3751 0.3751 0.8748
Cu 0.8748 0.3751 0.3751
Br 0.0000 0.0000 0.0000
Cu 0.3751 0.3751 0.3751
Cu 0.3751 0.8748 0.3751
In 0.7500 0.7500 0.7500

=====

Entry 6:
Computed, not measured: a relaxed structure of In2CuBr at the PBE level of DFT.

Output
Energy above the lowest structure with this stoichiometry = 0.2596 eV/atom
Space-group type = No. 47
Total magnetic moment = 0.000 μB/f.u.
Calculated total energy = -0.098 Ha/atom

Unit cell a=3.5365 b=6.1304 c=4.7730 alpha=90.00 beta=90.00 gamma=90.00
Fractional positions:
In 0.0000 0.0000 0.0000
Br 0.5000 0.0000 0.5000
Cu 0.0000 0.5000 0.5000
In 0.5000 0.5000 0.0000